Record 1
Sm4Al16Ni3 | GGA-PBE | relaxed

It has space group P4/mmm (No. 123), with a = 6.109 Å, b = 6.109 Å, c = 11.218 Å, α = 90.00°, β = 90.00° and γ = 90.00°. The distinct sites, in fractional coordinates, are Sm at (0.000, 0.500, 0.192), Al at (0.000, 0.000, 0.198), Al at (0.221, 0.221, 0.000), Al at (0.246, 0.246, 0.383), Al at (0.500, 0.500, 0.221), Ni at (0.000, 0.500, 0.500) and Ni at (0.500, 0.500, 0.000).

As for the energy: -107.0 eV for the cell shown. For the density of states at the Fermi level, the calculation gives 0.300 states/eV per atom. The total magnetization comes out at 0.00 μB/cell.

=====

Record 2
Li3BePCO7 | GGA-PBE | relaxed

It has space group P2_1/m (No. 11), with a = 4.763 Å, b = 6.447 Å, c = 8.215 Å, α = 90.00°, β = 92.15° and γ = 90.00°. The distinct sites, in fractional coordinates, are Li at (0.215, 0.022, 0.263), Li at (0.261, 0.250, 0.626), Be at (0.227, 0.750, 0.867), P at (0.263, 0.250, 0.929), C at (0.233, 0.750, 0.556), O at (0.037, 0.250, 0.430), O at (0.115, 0.250, 0.096), O at (0.184, 0.061, 0.822), O at (0.339, 0.750, 0.412), O at (0.397, 0.750, 0.686) and O at (0.416, 0.750, 0.030).

The calculation puts the uncorrected formation energy at -2127 meV/atom. As for the energy: -172.9 eV for the cell shown. For the density of states at the Fermi level, the calculation gives 0.000 states/eV per atom. For the polymorph energy (0 for the lowest one), the calculation gives 0.031 eV per atom. The total magnetization comes out at 0.00 μB/cell.

=====

Record 3
CoGeRu2 | GGA-PBE | relaxed

It has space group I-42d (No. 122), with a = 5.438 Å, b = 5.438 Å, c = 10.327 Å, α = 90.00°, β = 90.00° and γ = 90.00°. The distinct sites, in fractional coordinates, are Co at (0.000, 0.000, 0.000), Ge at (0.000, 0.000, 0.500) and Ru at (0.223, 0.250, 0.125).

As for the energy: -106.3 eV for the cell shown. For the density of states at the Fermi level, the calculation gives 1.199 states/eV per atom. The total magnetization comes out at 0.00 μB/cell.